NaVRuO6 (PBE+U, relaxed); symmetry = No. 143; electronic total energy = -6.64 eV/atom; total magnetization = 2.0 μB/f.u.
1.0
5.107 0.000 0.000
2.553 4.422 0.000
0.000 0.000 5.214
Na V Ru O
1 1 1 6
Direct
0.000 0.000 0.002
0.667 0.667 0.450
0.333 0.333 0.536
0.997 0.375 0.298
0.383 0.993 0.706
0.625 0.383 0.706
0.993 0.625 0.706
0.375 0.628 0.298
0.628 0.997 0.298